Entry 1:
Entry from Alexandria: a relaxed TbNdHoTh crystal (PBE).

- Calculated formation energy: 0.05 eV/f.u.
- ΔE to the lowest computed polymorph: 0.00 eV/f.u.
- Energy: -5.336 eV/atom

Cell lengths 3.6017, 3.6017, 34.7538 Å; angles 90.00, 90.00, 120.00 degrees
Space group R3m (No. 160, hexagonal axes)
Symmetry-distinct sites (fractional):
Tb 0.0000 0.0000 0.0000
Nd 0.0000 0.0000 0.2472
Ho 0.0000 0.0000 0.8280
Th 0.0000 0.0000 0.4141

Entry 2:
Entry from Alexandria: a relaxed DyTm2Ga crystal (PBE).

- Calculated formation energy: -0.80 eV/f.u.
- ΔE to the lowest computed polymorph: 0.35 eV/f.u.
- Energy: -4.343 eV/atom

Cell lengths 3.5611, 3.5611, 30.2622 Å; angles 90.00, 90.00, 120.00 degrees
Space group R3m (No. 160, hexagonal axes)
Symmetry-distinct sites (fractional):
Dy 0.0000 0.0000 0.0000
Tm 0.0000 0.0000 0.5710
Tm 0.0000 0.0000 0.7618
Ga 0.0000 0.0000 0.1660

Entry 3:
Entry from Alexandria: a relaxed Hg3SO6 crystal (PBE).

- ΔE to the lowest computed polymorph: 4.56 eV/f.u.
- E_form (uncorrected): -0.313 eV/atom
- Energy: -3.791 eV/atom

Cell lengths 5.495, 5.175, 10.294 Å; angles 90.00, 116.44, 90.00 degrees
Space group P2_1/c (No. 14)
Symmetry-distinct sites (fractional):
Hg 0.000 0.000 0.000
Hg 0.258 0.063 0.743
S 0.500 0.000 0.500
O 0.217 0.075 0.342
O 0.286 0.682 0.074
O 0.461 0.242 0.074

Entry 4:
Entry from Alexandria: a relaxed Rb2PmTl2O4 crystal (PBE).

- E_form (uncorrected): -1.534 eV/atom
- Energy: -5.007 eV/atom

Cell lengths 17.188, 3.669, 7.087 Å; angles 90.00, 99.68, 90.00 degrees
Space group C2/m (No. 12)
Symmetry-distinct sites (fractional):
Rb 0.120 0.000 0.099
Pm 0.000 0.000 0.500
Tl 0.177 0.500 0.582
O 0.059 0.500 0.352
O 0.122 0.000 0.720

Entry 5:
Entry from Alexandria: a relaxed AlSbRu2 crystal (PBE).

- E_form (uncorrected): -0.330 eV/atom
- Energy: -6.934 eV/atom

Cell lengths 4.400, 4.400, 3.161 Å; angles 90.00, 90.00, 90.00 degrees
Space group P4/mmm (No. 123)
Symmetry-distinct sites (fractional):
Al 0.000 0.000 0.000
Sb 0.500 0.500 0.000
Ru 0.000 0.500 0.500

Entry 6:
Entry from Alexandria: a relaxed Nd5Sm4Y3 crystal (PBE).

- Calculated formation energy: 0.14 eV/f.u.
- ΔE to the lowest computed polymorph: 0.00 eV/f.u.
- Energy: -5.164 eV/atom

Cell lengths 6.296, 7.269, 8.911 Å; angles 90.05, 90.11, 90.20 degrees
Space group P-1 (No. 2)
Symmetry-distinct sites (fractional):
Nd 0.000 0.000 0.000
Nd 0.332 0.499 0.334
Nd 0.499 0.250 0.000
Sm 0.166 0.750 0.666
Sm 0.335 0.000 0.334
Y 0.000 0.500 0.000
Y 0.167 0.250 0.666

Entry 7:
Entry from Alexandria: a relaxed ZnCd3 crystal (PBE).

- Calculated formation energy: 0.19 eV/f.u.
- Energy: -0.957 eV/atom

Cell lengths 2.903, 11.944, 4.995 Å; angles 90.00, 90.00, 90.00 degrees
Space group Imm2 (No. 44)
Symmetry-distinct sites (fractional):
Zn 0.000 0.000 0.000
Cd 0.000 0.288 0.565
Cd 0.000 0.500 0.009

Entry 8:
Entry from Alexandria: a relaxed Pu8PdAu5 crystal (PBE).

- Calculated formation energy: -3.88 eV/f.u.
- Energy: -10.008 eV/atom

Cell lengths 8.942, 8.942, 8.991 Å; angles 90.00, 90.00, 90.00 degrees
Space group I-4 (No. 82)
Symmetry-distinct sites (fractional):
Pu 0.073 0.172 0.204
Pu 0.076 0.316 0.548
Pd 0.000 0.000 0.500
Au 0.000 0.500 0.250
Au 0.121 0.253 0.877

Which value of energy does entry 5 give?
-6.934 eV/atom